A relaxed ZnAgSO crystal. Source: OQMD via LeMat-Bulk, functional PBE.

Values from the calculation:
V ... 115.6 Å³ per cell
Calculated total energy ... -3.6202 eV per atom
Mass density ... 6.36 g/cm³

Unit cell a=2.897 b=5.482 c=7.420 alpha=90.00 beta=78.74 gamma=90.00
Positions (direct):
Ag1 0.844 0.250 0.312
Ag2 0.156 0.750 0.688
O1 0.000 0.000 0.000
O2 0.000 0.500 0.000
S1 0.805 0.750 0.389
S2 0.195 0.250 0.611
Zn1 0.460 0.750 0.081
Zn2 0.540 0.250 0.919